Entry from Alexandria: crystalline RbInF2 at its relaxed geometry (PBE).

## Properties
The value obtained for the total magnetization is 0.0 μB/cell. As for the total energy: -3.9153 eV/atom. The value obtained for the formation energy from raw total energies is -2053.1 meV/atom. As for the space group: R-3m. The energy above the most stable polymorph in this dataset is 24.3 meV/atom. Its density of states at the Fermi level is 0.000 states/eV per atom.

Lattice parameters (Å, degrees): 3.955 3.955 23.346 90.00 90.00 120.00
Fractional coordinates of all 12 atoms:
Rb 0.000 0.000 0.000
Rb 0.333 0.667 0.667
Rb 0.667 0.333 0.333
In 0.000 0.000 0.500
In 0.333 0.667 0.167
In 0.667 0.333 0.833
F 0.000 0.000 0.403
F 0.000 0.000 0.597
F 0.333 0.667 0.070
F 0.333 0.667 0.264
F 0.667 0.333 0.736
F 0.667 0.333 0.930

---

Entry from Alexandria: crystalline Sm8DyTm3 at its relaxed geometry (PBE).

## Properties
The value obtained for the total magnetization is 0.0 μB/cell. As for the total energy: -4.5270 eV/atom. As for the space group: C2/m. Its density of states at the Fermi level is 1.987 states/eV per atom.

Lattice parameters (Å, degrees): 6.897 6.897 9.778 97.21 97.21 119.25
Fractional coordinates of all 12 atoms:
Sm 0.177 0.684 0.667
Sm 0.180 0.180 0.162
Sm 0.316 0.823 0.333
Sm 0.321 0.321 0.830
Sm 0.679 0.679 0.170
Sm 0.684 0.177 0.667
Sm 0.820 0.820 0.838
Sm 0.823 0.316 0.333
Dy 0.500 0.500 0.500
Tm 0.000 0.000 0.500
Tm 0.000 0.500 0.000
Tm 0.500 0.000 0.000

---

Entry from Alexandria: crystalline PuPa3Ti at its relaxed geometry (PBE).

## Properties
The value obtained for the total magnetization is 9.3 μB/cell. As for the total energy: -10.0583 eV/atom. As for the space group: P2_1/m. Its density of states at the Fermi level is 2.159 states/eV per atom.

Lattice parameters (Å, degrees): 7.757 3.269 9.353 90.00 102.90 90.00
Fractional coordinates of all 10 atoms:
Pu 0.056 0.250 0.164
Pu 0.944 0.750 0.836
Pa 0.256 0.250 0.735
Pa 0.341 0.750 0.043
Pa 0.441 0.250 0.362
Pa 0.559 0.750 0.638
Pa 0.659 0.250 0.957
Pa 0.744 0.750 0.265
Ti 0.130 0.750 0.452
Ti 0.870 0.250 0.548